# La3IrPb GGA-PBE relaxed
data_La3IrPb
_cell_length_a 5.975
_cell_length_b 7.543
_cell_length_c 7.449
_cell_angle_alpha 90.00
_cell_angle_beta 109.48
_cell_angle_gamma 90.00
_space_group_name_H-M_alt 'P 1 21/m 1'
_space_group_IT_number 11
loop_
_space_group_symop_operation_xyz
'x,y,z'
'-x,-y,-z'
'-x,y+1/2,-z'
'x,-y+1/2,z'
loop_
_atom_site_label
_atom_site_fract_x
_atom_site_fract_y
_atom_site_fract_z
_atom_site_occupancy
La1 0.144 0.250 0.141 1
La2 0.315 0.020 0.715 1
Ir1 0.382 0.750 0.982 1
Pb1 0.201 0.750 0.318 1
# * M_tot: 0.0 Bohr magnetons per cell
# * DOS(E_F): 0.826 states/eV/atom
# * ΔE to the lowest computed polymorph: 88 meV/atom
# * DFT formation energy: -0.599 eV/atom